# SbAu2

Crystalline SbAu2 at its relaxed geometry (PBE-GGA, Alexandria via LeMat-Bulk).

```
SbAu2
1.0
-2.822 -2.877 -0.826
3.410 0.252 -2.284
2.149 -2.937 2.887
Au Sb
2 1
Direct
0.667 0.333 0.336
0.333 0.667 0.664
0.000 0.000 0.000
```

Summary:
Energy relative to the elements, uncorrected = 0.00 eV/atom
ρ = 12.58 g/cm3
Crystal system = trigonal

# RbAcAgCl5

Crystalline RbAcAgCl5 at its relaxed geometry (PBE-GGA, Alexandria via LeMat-Bulk).

```
RbAcAgCl5
1.0
-5.188 6.023 -0.406
-2.903 -6.185 -4.084
-1.040 -3.244 10.123
Ag Cl Rb Ac
2 10 2 2
Direct
0.684 0.316 0.250
0.316 0.684 0.750
0.316 0.921 0.615
0.910 0.090 0.750
0.079 0.684 0.885
0.262 0.378 0.565
0.090 0.910 0.250
0.738 0.622 0.435
0.622 0.738 0.935
0.378 0.262 0.065
0.921 0.316 0.115
0.684 0.079 0.385
0.648 0.352 0.750
0.352 0.648 0.250
0.000 0.000 0.000
0.000 0.000 0.500
```

Summary:
Energy relative to the elements, uncorrected = -1.81 eV/atom
ρ = 3.34 g/cm3
Crystal system = monoclinic

# CoP2IrS

Crystalline CoP2IrS at its relaxed geometry (PBE-GGA, Alexandria via LeMat-Bulk).

```
CoP2IrS
1.0
4.460 0.000 0.000
0.000 4.460 0.000
0.000 0.000 5.106
P Co Ir S
2 1 1 1
Direct
0.500 0.000 0.000
0.000 0.500 0.000
0.500 0.500 0.500
0.000 0.000 0.000
0.000 0.000 0.500
```

Summary:
Energy relative to the elements, uncorrected = 1.01 eV/atom
Relative energy among the computed polymorphs = 228.9 meV per atom
ρ = 5.64 g/cm3
Crystal system = tetragonal

# Ba5SrPd

Crystalline Ba5SrPd at its relaxed geometry (PBE-GGA, Alexandria via LeMat-Bulk).

```
Ba5SrPd
1.0
8.022 -0.664 -3.221
-4.485 7.307 -1.288
1.615 1.984 12.724
Ba Pd Sr
10 2 2
Direct
0.185 0.418 0.071
0.255 0.005 0.250
0.745 0.995 0.750
0.339 0.594 0.411
0.661 0.406 0.589
0.847 0.115 0.429
0.815 0.582 0.929
0.682 0.928 0.089
0.153 0.885 0.571
0.318 0.072 0.911
0.000 0.000 0.000
0.500 0.000 0.500
0.751 0.501 0.250
0.249 0.499 0.750
```

Summary:
Energy of formation = -0.1327 eV/atom
ρ = 3.67 g/cm3
Crystal system = monoclinic

# PaPd4Pt2

Crystalline PaPd4Pt2 at its relaxed geometry (PBE-GGA, Alexandria via LeMat-Bulk).

```
PaPd4Pt2
1.0
-1.754 -1.273 4.096
2.837 -2.901 -2.406
2.709 8.222 2.551
Pd Pa Pt
4 1 2
Direct
0.438 0.494 0.774
0.889 0.170 0.226
0.111 0.830 0.774
0.562 0.506 0.226
0.000 0.500 0.000
0.394 0.091 0.394
0.606 0.909 0.606
```

Summary:
Relative energy among the computed polymorphs = 0.0 meV per atom
Energy of formation = -0.5124 eV/atom
ρ = 14.07 g/cm3
Crystal system = triclinic

# Be3Zn

Crystalline Be3Zn at its relaxed geometry (PBE-GGA, Alexandria via LeMat-Bulk).

```
Be3Zn
1.0
-1.451 4.493 -1.013
-3.396 -1.554 -2.027
-3.942 0.184 6.464
Be Zn
12 4
Direct
0.369 0.726 0.505
0.372 0.415 0.750
0.631 0.274 0.005
0.872 0.085 0.250
0.131 0.226 0.505
0.628 0.585 0.250
0.128 0.915 0.750
0.869 0.774 0.005
0.869 0.774 0.495
0.131 0.226 0.995
0.369 0.726 0.995
0.631 0.274 0.495
0.390 0.071 0.250
0.890 0.429 0.750
0.610 0.929 0.750
0.110 0.571 0.250
```

Summary:
Energy of formation = 0.1603 eV/atom
ρ = 3.95 g/cm3
Crystal system = orthorhombic